*A*
A plane-wave DFT calculation with GGA-PBE was carried out for a relaxed structure of Mg2MoOs.

Cell lengths 6.3119, 6.3203, 6.3365 Å; angles 90.00, 90.00, 90.00 degrees
Closest atoms and distances in Å follow each position.
Space group F222 (No. 22)
One atom of each set of equivalent atoms:
Mg 0.0000 0.0000 0.0000 (multiplicity 4)  4 Os 2.74, 4 Mg 2.74
Mg 0.2500 0.2500 0.2500 (multiplicity 4)  4 Mo 2.74, 4 Mg 2.74
Mo 0.0000 0.0000 0.5000 (multiplicity 4)  4 Os 2.74, 4 Mg 2.74
Os 0.2500 0.2500 0.7500 (multiplicity 4)  4 Mo 2.74, 4 Mg 2.74

Computed properties:
**D(E_F)**: 0.10 states/eV/atom

***

*B*
A plane-wave DFT calculation with GGA-PBE was carried out for a relaxed structure of Mg2MoOs.

Cell lengths 6.3945, 6.3945, 6.3945 Å; angles 90.00, 90.00, 90.00 degrees
Closest atoms and distances in Å follow each position.
Space group Fm-3m (No. 225)
One atom of each set of equivalent atoms:
Mg 0.2500 0.2500 0.2500 (multiplicity 8)  4 Os 2.77, 4 Mo 2.77
Mo 0.0000 0.0000 0.0000 (multiplicity 4)  8 Mg 2.77
Os 0.0000 0.0000 0.5000 (multiplicity 4)  8 Mg 2.77

Computed properties:
**D(E_F)**: 1.54 states/eV/atom

***

The structure shown above that is most stable: *A*.